First-principles (PBE-GGA) data for a relaxed Er2I2N crystal, as listed in Alexandria.

Summary:
E_tot, eV/atom: -5.48
DOS(E_F), states/eV/f.u.: 1.54
Formation energy (no corrections), eV/atom: -1.371
Symmetry: C2/m, No. 12

a b c (Å): 6.4980 3.7520 11.8218
angles (deg): 90.00 101.94 90.00
Atoms (fractional coordinates):
Er  0.2071  0.0000  0.1073
Er  0.2929  0.5000  0.8927
Er  0.7071  0.5000  0.1073
Er  0.7929  0.0000  0.8927
I  0.0565  0.0000  0.7073
I  0.4435  0.5000  0.2927
I  0.5565  0.5000  0.7073
I  0.9435  0.0000  0.2927
N  0.0000  0.5000  0.0000
N  0.5000  0.0000  0.0000

***

First-principles (PBE-GGA) data for a relaxed Pr2ErI2N2 crystal, as listed in Alexandria.

Summary:
E_tot, eV/atom: -6.11
DOS(E_F), states/eV/f.u.: 2.13
Formation energy (no corrections), eV/atom: -1.275
Symmetry: I4/mmm, No. 139

a b c (Å): 4.4816 4.4816 19.5691
angles (deg): 90.00 90.00 90.00
Atoms (fractional coordinates):
Pr  0.0000  0.0000  0.0767
Pr  0.0000  0.0000  0.9233
Pr  0.5000  0.5000  0.4233
Pr  0.5000  0.5000  0.5767
Er  0.0000  0.0000  0.5000
Er  0.5000  0.5000  0.0000
I  0.0000  0.0000  0.3371
I  0.0000  0.0000  0.6629
I  0.5000  0.5000  0.1629
I  0.5000  0.5000  0.8371
N  0.0000  0.5000  0.0000
N  0.0000  0.5000  0.5000
N  0.5000  0.0000  0.0000
N  0.5000  0.0000  0.5000

***

First-principles (PBE-GGA) data for a relaxed NaErI3 crystal, as listed in Alexandria.

Summary:
E_tot, eV/atom: -3.16
DOS(E_F), states/eV/f.u.: 1.94
Formation energy (no corrections), eV/atom: -1.050
Symmetry: P6_3/mmc, No. 194

a b c (Å): 8.4542 8.4542 6.9253
angles (deg): 90.00 90.00 120.00
Atoms (fractional coordinates):
Na  0.3333  0.6667  0.2500
Na  0.6667  0.3333  0.7500
Er  0.0000  0.0000  0.0000
Er  0.0000  0.0000  0.5000
I  0.1714  0.3429  0.7500
I  0.1714  0.8286  0.7500
I  0.3429  0.1714  0.2500
I  0.6571  0.8286  0.7500
I  0.8286  0.1714  0.2500
I  0.8286  0.6571  0.2500

***

First-principles (PBE-GGA) data for a relaxed Na2ErI5 crystal, as listed in Alexandria.

Summary:
E_tot, eV/atom: -3.14
DOS(E_F), states/eV/f.u.: 0.00
Formation energy (no corrections), eV/atom: -1.272
ΔE to the lowest computed polymorph, eV per atom: 0.021
Symmetry: Cmcm, No. 63

a b c (Å): 8.3927 8.3927 15.3098
angles (deg): 90.00 90.00 137.22
Atoms (fractional coordinates):
Na  0.1548  0.8452  0.5547
Na  0.1548  0.8452  0.9453
Na  0.8452  0.1548  0.0547
Na  0.8452  0.1548  0.4453
Er  0.1856  0.8144  0.2500
Er  0.8144  0.1856  0.7500
I  0.0478  0.9522  0.1197
I  0.0478  0.9522  0.3803
I  0.2856  0.7144  0.7500
I  0.3144  0.6856  0.0989
I  0.3144  0.6856  0.4011
I  0.6856  0.3144  0.5989
I  0.6856  0.3144  0.9011
I  0.7144  0.2856  0.2500
I  0.9522  0.0478  0.6197
I  0.9522  0.0478  0.8803

***

First-principles (PBE-GGA) data for a relaxed Na2ErI5 crystal, as listed in Alexandria.

Summary:
E_tot, eV/atom: -3.16
DOS(E_F), states/eV/f.u.: 0.00
Formation energy (no corrections), eV/atom: -1.292
ΔE to the lowest computed polymorph, eV per atom: 0.000
Symmetry: Cc, No. 9

a b c (Å): 8.7674 8.7674 11.2943
angles (deg): 108.66 108.66 54.56
Atoms (fractional coordinates):
Na  0.0240  0.9760  0.5000
Na  0.7343  0.7837  0.0878
Na  0.7837  0.7343  0.5878
Na  0.9760  0.0240  0.0000
Er  0.3796  0.3799  0.2942
Er  0.3799  0.3796  0.7942
I  0.0529  0.3317  0.6624
I  0.1499  0.7812  0.7454
I  0.2146  0.5450  0.0442
I  0.3317  0.0529  0.1624
I  0.4272  0.7071  0.4261
I  0.5450  0.2146  0.5442
I  0.6100  0.9778  0.8427
I  0.7071  0.4272  0.9261
I  0.7812  0.1499  0.2454
I  0.9778  0.6100  0.3427

***

First-principles (PBE-GGA) data for a relaxed NaErI2O8 crystal, as listed in Alexandria.

Summary:
E_tot, eV/atom: -5.09
DOS(E_F), states/eV/f.u.: 1.35
Formation energy (no corrections), eV/atom: -1.038
Symmetry: I-4, No. 82

a b c (Å): 6.9875 6.9875 6.9875
angles (deg): 135.41 135.41 64.89
Atoms (fractional coordinates):
Na  0.0000  0.0000  0.0000
Er  0.7500  0.2500  0.5000
I  0.2500  0.7500  0.5000
I  0.5000  0.5000  0.0000
O  0.0599  0.6388  0.0426
O  0.1748  0.2530  0.5906
O  0.3612  0.4039  0.4211
O  0.4158  0.8252  0.0783
O  0.5961  0.0173  0.9574
O  0.6624  0.5842  0.4094
O  0.7470  0.3376  0.9217
O  0.9827  0.9401  0.5789

***

First-principles (PBE-GGA) data for a relaxed Na3Er3IO8 crystal, as listed in Alexandria.

Summary:
E_tot, eV/atom: -6.15
DOS(E_F), states/eV/f.u.: 0.10
Formation energy (no corrections), eV/atom: -2.225
Symmetry: C2/m, No. 12

a b c (Å): 6.9467 6.9467 6.6924
angles (deg): 118.69 118.69 57.75
Atoms (fractional coordinates):
Na  0.0000  0.0000  0.0000
Na  0.0000  0.5000  0.0000
Na  0.5000  0.0000  0.0000
Er  0.0000  0.5000  0.5000
Er  0.5000  0.0000  0.5000
Er  0.5000  0.5000  0.5000
I  0.0000  0.0000  0.5000
O  0.2104  0.7419  0.6904
O  0.2552  0.2552  0.7252
O  0.2581  0.7896  0.3096
O  0.2753  0.2753  0.2958
O  0.7247  0.7247  0.7042
O  0.7419  0.2104  0.6904
O  0.7448  0.7448  0.2748
O  0.7896  0.2581  0.3096

***

First-principles (PBE-GGA) data for a relaxed Na2ErIO6 crystal, as listed in Alexandria.

Summary:
E_tot, eV/atom: -5.53
DOS(E_F), states/eV/f.u.: 0.00
Formation energy (no corrections), eV/atom: -1.680
Symmetry: P2_1/c, No. 14

a b c (Å): 5.6220 5.7091 9.7784
angles (deg): 90.00 125.00 90.00
Atoms (fractional coordinates):
Na  0.2436  0.0328  0.2508
Na  0.2436  0.4672  0.7508
Na  0.7564  0.5327  0.2492
Na  0.7564  0.9672  0.7492
Er  0.5000  0.0000  0.0000
Er  0.5000  0.5000  0.5000
I  0.0000  0.0000  0.5000
I  0.0000  0.5000  0.0000
O  0.1382  0.2287  0.9537
O  0.1382  0.2713  0.4537
O  0.2298  0.6900  0.9587
O  0.2298  0.8100  0.4587
O  0.3132  0.0248  0.7289
O  0.3132  0.4752  0.2289
O  0.6868  0.5248  0.7711
O  0.6868  0.9752  0.2711
O  0.7702  0.1900  0.5413
O  0.7702  0.3100  0.0413
O  0.8618  0.7287  0.5463
O  0.8618  0.7713  0.0463

***

First-principles (PBE-GGA) data for a relaxed Na2ErTlI6 crystal, as listed in Alexandria.

Summary:
E_tot, eV/atom: -3.06
DOS(E_F), states/eV/f.u.: 0.00
Formation energy (no corrections), eV/atom: -1.176
Symmetry: R3, No. 146

a b c (Å): 8.8074 8.8074 8.8074
angles (deg): 54.90 54.90 54.90
Atoms (fractional coordinates):
Na  0.0000  0.0000  0.0000
Na  0.4865  0.4865  0.4865
Er  0.6744  0.6744  0.6744
Tl  0.1869  0.1869  0.1869
I  0.0569  0.4314  0.7549
I  0.2826  0.8685  0.6199
I  0.4314  0.7549  0.0569
I  0.6199  0.2826  0.8685
I  0.7549  0.0569  0.4314
I  0.8685  0.6199  0.2826

***

First-principles (PBE-GGA) data for a relaxed Nd2ErI crystal, as listed in Alexandria.

Summary:
E_tot, eV/atom: -4.25
DOS(E_F), states/eV/f.u.: 3.84
Formation energy (no corrections), eV/atom: -0.342
ΔE to the lowest computed polymorph, eV per atom: 0.048
Symmetry: P4/mmm, No. 123

a b c (Å): 3.6998 3.6998 9.6849
angles (deg): 90.00 90.00 90.00
Atoms (fractional coordinates):
Nd  0.0000  0.0000  0.2430
Nd  0.0000  0.0000  0.7570
Er  0.5000  0.5000  0.5000
I  0.5000  0.5000  0.0000

***

First-principles (PBE-GGA) data for a relaxed Nd2ErI crystal, as listed in Alexandria.

Summary:
E_tot, eV/atom: -4.30
DOS(E_F), states/eV/f.u.: 6.43
Formation energy (no corrections), eV/atom: -0.390
ΔE to the lowest computed polymorph, eV per atom: 0.000
Symmetry: R3m, No. 160

a b c (Å): 3.8270 3.8270 32.0436
angles (deg): 90.00 90.00 120.00
Atoms (fractional coordinates):
Nd  0.0000  0.0000  0.0000
Nd  0.0000  0.0000  0.1738
Nd  0.3333  0.6667  0.6667
Nd  0.3333  0.6667  0.8405
Nd  0.6667  0.3333  0.3333
Nd  0.6667  0.3333  0.5072
Er  0.0000  0.0000  0.7539
Er  0.3333  0.6667  0.4205
Er  0.6667  0.3333  0.0872
I  0.0000  0.0000  0.5870
I  0.3333  0.6667  0.2537
I  0.6667  0.3333  0.9204

***

First-principles (PBE-GGA) data for a relaxed NdErI crystal, as listed in Alexandria.

Summary:
E_tot, eV/atom: -3.80
DOS(E_F), states/eV/f.u.: 1.66
Formation energy (no corrections), eV/atom: -0.178
ΔE to the lowest computed polymorph, eV per atom: 0.093
Symmetry: P3m1, No. 156

a b c (Å): 5.4348 5.4348 3.8440
angles (deg): 90.00 90.00 120.00
Atoms (fractional coordinates):
Nd  0.0000  0.0000  0.0000
Er  0.3333  0.6667  0.4823
I  0.6667  0.3333  0.3540